! PuTh2Ge3Ir4 | the Alexandria database | PBE-GGA | relaxed; values from VASP
&SYSTEM
  ibrav = 0, nat = 10, ntyp = 4
/
ATOMIC_SPECIES
Ir 192.22 Ir.upf
Pu 244.00 Pu.upf
Ge 72.64 Ge.upf
Th 232.04 Th.upf
ATOMIC_POSITIONS crystal
Ir 0.500 0.500 0.000
Pu 0.500 0.500 0.500
Ge 0.000 0.000 0.500
Ir 0.500 0.000 0.658
Ge 0.500 0.000 0.877
Ir 0.000 0.000 0.000
Th 0.000 0.500 0.770
Th 0.500 0.000 0.230
Ir 0.000 0.500 0.342
Ge 0.000 0.500 0.123
CELL_PARAMETERS angstrom
-0.305 3.036 -2.900
-1.058 -2.869 -2.892
-10.828 1.384 2.588
! Raw total energy = -8.594 eV/atom
! Volume = 19.88 Å³/atom
! Energy of formation from the pure elements = -72.1 kJ per mole of atoms

! Ta2AlCd | the Alexandria database | PBE-GGA | relaxed; values from VASP
&SYSTEM
  ibrav = 0, nat = 4, ntyp = 3
/
ATOMIC_SPECIES
Al 26.98 Al.upf
Cd 112.41 Cd.upf
Ta 180.95 Ta.upf
ATOMIC_POSITIONS crystal
Al 0.000 0.000 0.488
Cd 0.500 0.500 0.739
Ta 0.500 0.500 0.237
Ta 0.000 0.000 0.036
CELL_PARAMETERS angstrom
-3.113 1.417 0.702
-0.930 -2.895 1.717
2.255 2.369 5.216
! Raw total energy = -6.960 eV/atom
! Energy relative to the lowest polymorph listed for this composition = 106.8 meV/atom
! Volume = 18.77 Å³/atom
! Energy of formation from the pure elements = 12.6 kJ per mole of atoms

! NaBi2H | the Alexandria database | PBE-GGA | relaxed; values from VASP
&SYSTEM
  ibrav = 0, nat = 16, ntyp = 3
/
ATOMIC_SPECIES
Bi 208.98 Bi.upf
H 1.01 H.upf
Na 22.99 Na.upf
ATOMIC_POSITIONS crystal
Bi 0.268 0.568 0.890
H 0.500 0.751 0.130
Bi 0.732 0.933 0.890
H 0.000 0.749 0.370
H 0.500 0.249 0.870
Na 0.750 0.436 0.750
Bi 0.232 0.567 0.610
Na 0.250 0.064 0.750
Na 0.250 0.564 0.250
Na 0.750 0.936 0.250
Bi 0.768 0.932 0.610
Bi 0.732 0.432 0.110
Bi 0.232 0.068 0.390
Bi 0.768 0.433 0.390
H 0.000 0.251 0.630
Bi 0.268 0.067 0.110
CELL_PARAMETERS angstrom
-4.387 -0.377 3.520
3.485 -2.034 4.126
2.042 11.104 3.734
! Raw total energy = -3.018 eV/atom
! Energy relative to the lowest polymorph listed for this composition = 0.0 meV/atom
! Volume = 24.18 Å³/atom

! Ba2TaInS6 | the Alexandria database | PBE-GGA | relaxed; values from VASP
&SYSTEM
  ibrav = 0, nat = 20, ntyp = 4
/
ATOMIC_SPECIES
Ta 180.95 Ta.upf
Ba 137.33 Ba.upf
S 32.06 S.upf
In 114.82 In.upf
ATOMIC_POSITIONS crystal
Ta 0.000 0.500 0.000
Ba 0.015 0.939 0.251
S 0.216 0.197 0.463
S 0.695 0.287 0.536
Ba 0.985 0.061 0.749
S 0.716 0.303 0.963
S 0.305 0.713 0.464
S 0.430 0.000 0.740
S 0.805 0.787 0.964
In 0.500 0.000 0.000
S 0.070 0.500 0.760
In 0.000 0.500 0.500
S 0.195 0.213 0.036
S 0.284 0.697 0.037
S 0.930 0.500 0.240
S 0.784 0.803 0.537
Ta 0.500 0.000 0.500
Ba 0.485 0.439 0.249
Ba 0.515 0.561 0.751
S 0.570 0.000 0.260
CELL_PARAMETERS angstrom
-1.709 4.251 -5.299
-3.427 -5.365 -3.199
-8.435 2.532 4.788
! Raw total energy = -5.609 eV/atom
! ΔE_f (raw) = -1.289 eV per atom
! Volume = 25.02 Å³/atom

! Li2H6IrAu | the Alexandria database | PBE-GGA | relaxed; values from VASP
&SYSTEM
  ibrav = 0, nat = 10, ntyp = 4
/
ATOMIC_SPECIES
H 1.01 H.upf
Li 6.94 Li.upf
Ir 192.22 Ir.upf
Au 196.97 Au.upf
ATOMIC_POSITIONS crystal
H 0.112 0.156 0.789
H 0.199 0.260 0.374
Li 0.303 0.765 0.630
H 0.394 0.906 0.090
H 0.835 0.621 0.525
Li 0.697 0.302 0.598
H 0.829 0.777 0.000
Ir 0.008 0.981 0.944
Au 0.407 0.582 0.162
H 0.715 0.153 0.886
CELL_PARAMETERS angstrom
5.112 0.112 -0.388
0.082 4.972 -0.112
-2.885 -2.643 3.993
! Raw total energy = -3.871 eV/atom
! Volume = 9.45 Å³/atom

! CuMoW | the Alexandria database | PBE-GGA | relaxed; values from VASP
&SYSTEM
  ibrav = 0, nat = 3, ntyp = 3
/
ATOMIC_SPECIES
Cu 63.55 Cu.upf
Mo 95.94 Mo.upf
W 183.84 W.upf
ATOMIC_POSITIONS crystal
Cu 0.000 0.000 0.986
Mo 0.333 0.667 0.346
W 0.667 0.333 0.668
CELL_PARAMETERS angstrom
-0.369 -0.502 4.416
-2.744 -2.213 -2.733
1.687 -1.988 -0.085
! Raw total energy = -9.025 eV/atom
! Energy relative to the lowest polymorph listed for this composition = 37.1 meV/atom
! Volume = 14.98 Å³/atom
! Energy of formation from the pure elements = 25.9 kJ per mole of atoms